First-principles (PBE-GGA) data for CuSi2Ge after structural relaxation, as listed in Alexandria via LeMat-Bulk.

Cell: 4.647 4.647 13.797 Å, 90.00 90.00 90.00°
Space group I-42d (No. 122)
Unique sites:
Cu  0.000  0.000  0.000 [4 per cell]
Si  0.197  0.250  0.125 [8 per cell]
Ge  0.000  0.000  0.500 [4 per cell]

Results
Crystal system   tetragonal
Fermi-level density of states   0.3989 states/eV/atom
Formation energy from raw total energies   0.328 eV per atom

First-principles (PBE-GGA) data for UCoRe after structural relaxation, as listed in Alexandria via LeMat-Bulk.

Cell: 9.317 9.317 9.317 Å, 90.00 90.00 90.00°
Space group F-43m (No. 216)
Unique sites:
U  0.109  0.109  0.109 [16 per cell]
Co  0.100  0.100  0.400 [16 per cell]
Re  0.152  0.152  0.652 [16 per cell]

Results
Energy relative to the elements   0.29 eV/atom
Relative energy among the computed polymorphs   163 meV/atom
Crystal system   cubic
Fermi-level density of states   1.9708 states/eV/atom

First-principles (PBE-GGA) data for Pm2PaO6 after structural relaxation, as listed in Alexandria via LeMat-Bulk.

Cell: 3.914 5.571 11.595 Å, 90.00 90.00 90.00°
Space group Immm (No. 71)
Unique sites:
Pm  0.000  0.000  0.168 [4 per cell]
Pa  0.000  0.000  0.500 [2 per cell]
O  0.000  0.240  0.343 [8 per cell]
O  0.000  0.269  0.000 [4 per cell]

Results
Relative energy among the computed polymorphs   0 meV/atom
Crystal system   orthorhombic
Fermi-level density of states   0.9419 states/eV/atom
Formation energy from raw total energies   -3.332 eV per atom

First-principles (PBE-GGA) data for Ho2MgSn9 after structural relaxation, as listed in Alexandria via LeMat-Bulk.

Cell: 4.623 4.623 14.626 Å, 90.00 90.00 90.00°
Space group P4/mmm (No. 123)
Unique sites:
Ho  0.000  0.000  0.161 [2 per cell]
Mg  0.000  0.000  0.500 [1 per cell]
Sn  0.000  0.500  0.000 [2 per cell]
Sn  0.000  0.500  0.335 [4 per cell]
Sn  0.500  0.500  0.170 [2 per cell]
Sn  0.500  0.500  0.500 [1 per cell]

Results
Energy relative to the elements   -0.28 eV/atom
Crystal system   tetragonal
Fermi-level density of states   0.2815 states/eV/atom

First-principles (PBE-GGA) data for Pm3Y7Th after structural relaxation, as listed in Alexandria via LeMat-Bulk.

Cell: 7.1111 7.1111 8.7534 Å, 90.00 90.00 120.00°
Space group P3m1 (No. 156)
Unique sites:
Pm  0.0044  0.5022  0.0000 [3 per cell]
Y  0.1689  0.3377  0.6593 [3 per cell]
Y  0.3342  0.1671  0.3329 [3 per cell]
Y  0.6667  0.3333  0.6623 [1 per cell]
Th  0.3333  0.6667  0.3331 [1 per cell]

Results
Energy relative to the elements   0.18 eV/atom
Relative energy among the computed polymorphs   27 meV/atom
Crystal system   trigonal
Fermi-level density of states   1.6291 states/eV/atom

First-principles (PBE-GGA) data for Nd3TiAl2O9 after structural relaxation, as listed in Alexandria via LeMat-Bulk.

Cell: 5.4088 5.4088 6.6441 Å, 90.00 90.00 120.00°
Space group P-3m1 (No. 164)
Unique sites:
Nd  0.0000  0.0000  0.0000 [1 per cell]
Nd  0.3333  0.6667  0.6709 [2 per cell]
Ti  0.0000  0.0000  0.5000 [1 per cell]
Al  0.3333  0.6667  0.1608 [2 per cell]
O  0.0000  0.5000  0.0000 [3 per cell]
O  0.1707  0.3415  0.3268 [6 per cell]

Results
Crystal system   trigonal
Fermi-level density of states   0.2669 states/eV/atom
Formation energy from raw total energies   -3.141 eV per atom

First-principles (PBE-GGA) data for DyHo7Tm5 after structural relaxation, as listed in Alexandria via LeMat-Bulk.

Cell: 6.592 11.071 11.366 Å, 90.00 90.00 90.00°
Space group Imm2 (No. 44)
Unique sites:
Dy  0.000  0.000  0.000 [2 per cell]
Ho  0.000  0.000  0.308 [2 per cell]
Ho  0.000  0.000  0.615 [2 per cell]
Ho  0.000  0.328  0.056 [4 per cell]
Ho  0.000  0.328  0.557 [4 per cell]
Ho  0.000  0.500  0.307 [2 per cell]
Tm  0.000  0.500  0.807 [2 per cell]
Tm  0.234  0.228  0.807 [8 per cell]

Results
Energy relative to the elements   0.26 eV/atom
Crystal system   orthorhombic
Fermi-level density of states   2.0541 states/eV/atom

First-principles (PBE-GGA) data for SrLi2La2Tl2 after structural relaxation, as listed in Alexandria via LeMat-Bulk.

Cell: 4.9681 4.9681 29.0916 Å, 90.00 90.00 120.00°
Space group R-3m (No. 166, hexagonal axes)
Unique sites:
Sr  0.0000  0.0000  0.0000 [3 per cell]
Li  0.0000  0.0000  0.4065 [6 per cell]
La  0.0000  0.0000  0.1353 [6 per cell]
Tl  0.0000  0.0000  0.2571 [6 per cell]

Results
Energy relative to the elements   -0.23 eV/atom
Crystal system   trigonal
Fermi-level density of states   0.6967 states/eV/atom